# WClF3 | Alexandria | PBE+U | optimized geometry
data_WClF3
_space_group_name_H-M_alt 'R -3 m'
_space_group_IT_number 166
_space_group_name_Hall '-R 3 2"'
_cell_length_a 6.5131
_cell_length_b 6.5131
_cell_length_c 18.0060
_cell_angle_alpha 90.00
_cell_angle_beta 90.00
_cell_angle_gamma 120.00
loop_
_atom_site_label
_atom_site_type_symbol
_atom_site_fract_x
_atom_site_fract_y
_atom_site_fract_z
_atom_site_occupancy
W1 W 0.0000 0.0000 0.1776 1
Cl1 Cl 0.0000 0.0000 0.3042 1
F1 F 0.0451 0.5226 0.7856 1
# ΔE to the lowest computed polymorph: 0.0 meV/atom
# Electronic total energy: -4.7792 eV/atom